1.
Crystalline La2Nd2YTm2 at its relaxed geometry, computed with GGA-PBE.

a = 11.504 Å, b = 5.152 Å, c = 8.084 Å
α = 90.00°, β = 98.46°, γ = 90.00°
Space group C2/m (No. 12)
One atom of each set of equivalent atoms:
La (0.144, 0.000, 0.430) (multiplicity 4)
Nd (0.071, 0.500, 0.721) (multiplicity 4)
Y (0.000, 0.000, 0.000) (multiplicity 2)
Tm (0.216, 0.500, 0.138) (multiplicity 4)

V ... 33.86 A^3/atom

---

2.
Crystalline LaNd2YTm at its relaxed geometry, computed with GGA-PBE.

a = 9.126 Å, b = 6.431 Å, c = 6.424 Å
α = 90.00°, β = 109.20°, γ = 90.00°
Space group P2/c (No. 13)
One atom of each set of equivalent atoms:
La (0.000, 0.000, 0.000) (multiplicity 2)
Nd (0.317, 0.316, 0.162) (multiplicity 4)
Y (0.500, 0.167, 0.750) (multiplicity 2)
Tm (0.000, 0.493, 0.750) (multiplicity 2)

V ... 35.61 A^3/atom

---

3.
Crystalline La2Nd4Y2Tm at its relaxed geometry, computed with GGA-PBE.

a = 19.064 Å, b = 3.692 Å, c = 9.776 Å
α = 90.00°, β = 115.59°, γ = 90.00°
Space group C2/m (No. 12)
One atom of each set of equivalent atoms:
La (0.165, 0.000, 0.499) (multiplicity 4)
Nd (0.019, 0.000, 0.833) (multiplicity 4)
Nd (0.186, 0.500, 0.834) (multiplicity 4)
Y (0.147, 0.500, 0.166) (multiplicity 4)
Tm (0.000, 0.500, 0.500) (multiplicity 2)

V ... 34.47 A^3/atom

---

4.
Crystalline LaNd6Y2Tm at its relaxed geometry, computed with GGA-PBE.

a = 9.637 Å, b = 15.096 Å, c = 9.569 Å
α = 90.00°, β = 95.12°, γ = 90.00°
Space group C2/c (No. 15)
One atom of each set of equivalent atoms:
La (0.000, 0.044, 0.250) (multiplicity 4)
Nd (0.065, 0.173, 0.938) (multiplicity 8)
Nd (0.087, 0.383, 0.113) (multiplicity 8)
Nd (0.226, 0.223, 0.318) (multiplicity 8)
Y (0.248, 0.454, 0.442) (multiplicity 8)
Tm (0.000, 0.411, 0.750) (multiplicity 4)

V ... 34.66 A^3/atom

---

5.
Crystalline La2NdY6Tm2 at its relaxed geometry, computed with GGA-PBE.

a = 6.496 Å, b = 10.263 Å, c = 11.413 Å
α = 90.00°, β = 94.14°, γ = 90.00°
Space group C2/m (No. 12)
One atom of each set of equivalent atoms:
La (0.000, 0.236, 0.000) (multiplicity 4)
Nd (0.000, 0.500, 0.500) (multiplicity 2)
Y (0.214, 0.332, 0.742) (multiplicity 8)
Y (0.221, 0.000, 0.776) (multiplicity 4)
Tm (0.000, 0.163, 0.500) (multiplicity 4)

V ... 34.50 A^3/atom

---

6.
Crystalline La2NdV at its relaxed geometry, computed with GGA-PBE.

a = 3.4622 Å, b = 3.4622 Å, c = 35.6093 Å
α = 90.00°, β = 90.00°, γ = 120.00°
Space group R-3m (No. 166, hexagonal axes)
One atom of each set of equivalent atoms:
La (0.0000, 0.0000, 0.0771) (multiplicity 6)
Nd (0.0000, 0.0000, 0.5000) (multiplicity 3)
V (0.0000, 0.0000, 0.0000) (multiplicity 3)

V ... 30.80 A^3/atom

---

7.
Crystalline La6Nd4Y at its relaxed geometry, computed with GGA-PBE.

a = 6.850 Å, b = 6.850 Å, c = 16.847 Å
α = 90.00°, β = 90.00°, γ = 90.00°
Space group I-42m (No. 121)
One atom of each set of equivalent atoms:
La (0.000, 0.500, 0.000) (multiplicity 4)
La (0.159, 0.159, 0.117) (multiplicity 8)
Nd (0.181, 0.181, 0.315) (multiplicity 8)
Y (0.000, 0.000, 0.500) (multiplicity 2)

Energy above the most stable polymorph in this dataset ... 0.00 eV per formula unit
V ... 35.94 A^3/atom

---

8.
Crystalline La5Nd2Y12 at its relaxed geometry, computed with GGA-PBE.

a = 12.445 Å, b = 7.223 Å, c = 15.287 Å
α = 90.00°, β = 108.24°, γ = 90.00°
Space group C2/m (No. 12)
One atom of each set of equivalent atoms:
La (0.000, 0.000, 0.000) (multiplicity 2)
La (0.095, 0.500, 0.098) (multiplicity 4)
La (0.249, 0.500, 0.498) (multiplicity 4)
Nd (0.000, 0.251, 0.500) (multiplicity 4)
Y (0.087, 0.246, 0.289) (multiplicity 8)
Y (0.157, 0.500, 0.694) (multiplicity 4)
Y (0.158, 0.000, 0.697) (multiplicity 4)
Y (0.172, 0.260, 0.891) (multiplicity 8)

V ... 34.34 A^3/atom

---

9.
Crystalline LaNd7Y3 at its relaxed geometry, computed with GGA-PBE.

a = 11.903 Å, b = 10.240 Å, c = 6.507 Å
α = 90.00°, β = 95.69°, γ = 90.00°
Space group C2/m (No. 12)
One atom of each set of equivalent atoms:
La (0.000, 0.000, 0.000) (multiplicity 2)
Nd (0.000, 0.000, 0.500) (multiplicity 2)
Nd (0.236, 0.500, 0.712) (multiplicity 4)
Nd (0.249, 0.325, 0.241) (multiplicity 8)
Y (0.000, 0.330, 0.500) (multiplicity 4)
Y (0.000, 0.500, 0.000) (multiplicity 2)

Energy above the most stable polymorph in this dataset ... 0.25 eV per formula unit
V ... 35.87 A^3/atom

---

10.
Crystalline La4Nd2Y3 at its relaxed geometry, computed with GGA-PBE.

a = 15.564 Å, b = 5.216 Å, c = 8.192 Å
α = 90.00°, β = 108.61°, γ = 90.00°
Space group C2/m (No. 12)
One atom of each set of equivalent atoms:
La (0.055, 0.000, 0.333) (multiplicity 4)
La (0.222, 0.500, 0.333) (multiplicity 4)
Nd (0.167, 0.000, 0.001) (multiplicity 4)
Y (0.000, 0.500, 0.000) (multiplicity 2)
Y (0.111, 0.500, 0.670) (multiplicity 4)

Energy above the most stable polymorph in this dataset ... 0.00 eV per formula unit
V ... 35.01 A^3/atom

---

11.
Crystalline LaNd6Y3 at its relaxed geometry, computed with GGA-PBE.

a = 11.219 Å, b = 19.521 Å, c = 6.304 Å
α = 90.00°, β = 90.00°, γ = 90.00°
Space group Cmc2_1 (No. 36)
One atom of each set of equivalent atoms:
La (0.000, 0.194, 0.000) (multiplicity 4)
Nd (0.000, 0.039, 0.201) (multiplicity 4)
Nd (0.000, 0.283, 0.460) (multiplicity 4)
Nd (0.167, 0.458, 0.558) (multiplicity 8)
Nd (0.239, 0.290, 0.722) (multiplicity 8)
Y (0.000, 0.385, 0.014) (multiplicity 4)
Y (0.173, 0.114, 0.633) (multiplicity 8)

V ... 34.51 A^3/atom

---

12.
Crystalline LaNd5Y2 at its relaxed geometry, computed with GGA-PBE.

a = 7.286 Å, b = 10.202 Å, c = 8.096 Å
α = 90.00°, β = 102.92°, γ = 90.00°
Space group P2_1/m (No. 11)
One atom of each set of equivalent atoms:
La (0.072, 0.250, 0.278) (multiplicity 2)
Nd (0.252, 0.533, 0.000) (multiplicity 4)
Nd (0.408, 0.093, 0.641) (multiplicity 4)
Nd (0.439, 0.750, 0.727) (multiplicity 2)
Y (0.090, 0.592, 0.365) (multiplicity 4)

Energy above the most stable polymorph in this dataset ... 1.75 eV per formula unit
V ... 36.66 A^3/atom

---

13.
Crystalline La4Nd4Y5 at its relaxed geometry, computed with GGA-PBE.

a = 13.192 Å, b = 13.192 Å, c = 5.190 Å
α = 90.00°, β = 90.00°, γ = 90.00°
Space group I4/m (No. 87)
One atom of each set of equivalent atoms:
La (0.154, 0.770, 0.000) (multiplicity 8)
Nd (0.079, 0.386, 0.000) (multiplicity 8)
Y (0.000, 0.000, 0.000) (multiplicity 2)
Y (0.038, 0.190, 0.500) (multiplicity 8)

V ... 34.74 A^3/atom

---

14.
Crystalline La12NdY5 at its relaxed geometry, computed with GGA-PBE.

a = 6.403 Å, b = 11.099 Å, c = 18.133 Å
α = 90.00°, β = 96.68°, γ = 90.00°
Space group C2/m (No. 12)
One atom of each set of equivalent atoms:
La (0.112, 0.167, 0.336) (multiplicity 8)
La (0.113, 0.500, 0.337) (multiplicity 4)
La (0.221, 0.000, 0.166) (multiplicity 4)
La (0.221, 0.333, 0.166) (multiplicity 8)
Nd (0.000, 0.500, 0.000) (multiplicity 2)
Y (0.000, 0.000, 0.500) (multiplicity 2)
Y (0.000, 0.167, 0.000) (multiplicity 4)
Y (0.000, 0.334, 0.500) (multiplicity 4)

V ... 35.55 A^3/atom

---

15.
Crystalline La5NdY3 at its relaxed geometry, computed with GGA-PBE.

a = 8.837 Å, b = 8.837 Å, c = 16.488 Å
α = 90.00°, β = 90.00°, γ = 90.00°
Space group I4/mcm (No. 140)
One atom of each set of equivalent atoms:
La (0.000, 0.000, 0.000) (multiplicity 4)
La (0.198, 0.302, 0.142) (multiplicity 16)
Nd (0.000, 0.500, 0.250) (multiplicity 4)
Y (0.000, 0.000, 0.250) (multiplicity 4)
Y (0.121, 0.379, 0.500) (multiplicity 8)

Energy above the most stable polymorph in this dataset ... 0.37 eV per formula unit
V ... 35.76 A^3/atom

---

16.
Crystalline La2Nd7Y3 at its relaxed geometry, computed with GGA-PBE.

a = 5.995 Å, b = 3.670 Å, c = 19.238 Å
α = 90.00°, β = 93.58°, γ = 90.00°
Space group P2/m (No. 10)
One atom of each set of equivalent atoms:
La (0.202, 0.000, 0.298) (multiplicity 2)
Nd (0.178, 0.500, 0.143) (multiplicity 2)
Nd (0.242, 0.000, 0.464) (multiplicity 2)
Nd (0.321, 0.000, 0.823) (multiplicity 2)
Nd (0.500, 0.500, 0.000) (multiplicity 1)
Y (0.000, 0.000, 0.000) (multiplicity 1)
Y (0.285, 0.500, 0.631) (multiplicity 2)

Energy above the most stable polymorph in this dataset ... 0.27 eV per formula unit
V ... 35.21 A^3/atom

---

17.
Crystalline La4Nd3Y4 at its relaxed geometry, computed with GGA-PBE.

a = 10.854 Å, b = 5.855 Å, c = 12.163 Å
α = 90.00°, β = 90.00°, γ = 90.00°
Space group Amm2 (No. 38)
One atom of each set of equivalent atoms:
La (0.000, 0.000, 0.000) (multiplicity 2)
La (0.207, 0.000, 0.809) (multiplicity 4)
La (0.500, 0.000, 0.920) (multiplicity 2)
Nd (0.000, 0.000, 0.294) (multiplicity 2)
Nd (0.294, 0.000, 0.449) (multiplicity 4)
Y (0.000, 0.000, 0.596) (multiplicity 2)
Y (0.302, 0.000, 0.146) (multiplicity 4)
Y (0.500, 0.000, 0.648) (multiplicity 2)

Energy above the most stable polymorph in this dataset ... 0.21 eV per formula unit
V ... 35.13 A^3/atom

---

18.
Crystalline LaNd2Y4 at its relaxed geometry, computed with GGA-PBE.

a = 3.5968 Å, b = 3.5968 Å, c = 64.1002 Å
α = 90.00°, β = 90.00°, γ = 120.00°
Space group R-3m (No. 166, hexagonal axes)
One atom of each set of equivalent atoms:
La (0.0000, 0.0000, 0.0000) (multiplicity 3)
Nd (0.0000, 0.0000, 0.2341) (multiplicity 6)
Y (0.0000, 0.0000, 0.1439) (multiplicity 6)
Y (0.0000, 0.0000, 0.2880) (multiplicity 6)

Energy above the most stable polymorph in this dataset ... 0.40 eV per formula unit
V ... 34.20 A^3/atom

---

19.
Crystalline La2Nd4Y3 at its relaxed geometry, computed with GGA-PBE.

a = 17.107 Å, b = 11.941 Å, c = 6.145 Å
α = 90.00°, β = 97.46°, γ = 90.00°
Space group C2/c (No. 15)
One atom of each set of equivalent atoms:
La (0.106, 0.113, 0.285) (multiplicity 8)
Nd (0.061, 0.391, 0.041) (multiplicity 8)
Nd (0.231, 0.111, 0.870) (multiplicity 8)
Y (0.000, 0.148, 0.750) (multiplicity 4)
Y (0.165, 0.353, 0.586) (multiplicity 8)

Energy above the most stable polymorph in this dataset ... 0.00 eV per formula unit
V ... 34.57 A^3/atom

---

20.
Crystalline LaNd5Y4 at its relaxed geometry, computed with GGA-PBE.

a = 3.658 Å, b = 3.658 Å, c = 25.580 Å
α = 90.00°, β = 90.00°, γ = 90.00°
Space group P4/mmm (No. 123)
One atom of each set of equivalent atoms:
La (0.000, 0.000, 0.000) (multiplicity 1)
Nd (0.500, 0.500, 0.103) (multiplicity 2)
Nd (0.500, 0.500, 0.302) (multiplicity 2)
Nd (0.500, 0.500, 0.500) (multiplicity 1)
Y (0.000, 0.000, 0.203) (multiplicity 2)
Y (0.000, 0.000, 0.401) (multiplicity 2)

Energy above the most stable polymorph in this dataset ... 0.00 eV per formula unit
V ... 34.24 A^3/atom

---

| no. | energy relative to the elements (eV/atom) | calculated density (g/cm³) | E (eV per atom) |
| --- | --- | --- | --- |
| 1 | 0.03 | 7.0 | -4.9432 |
| 2 | 0.27 | 6.4 | -4.8138 |
| 3 | 0.01 | 6.4 | -5.1404 |
| 4 | 0.12 | 6.5 | -4.9782 |
| 5 | 0.17 | 5.7 | -5.4939 |
| 6 | 0.61 | 6.4 | -5.3230 |
| 7 | 0.24 | 6.3 | -4.7710 |
| 8 | 0.10 | 5.2 | -5.7779 |
| 9 | 0.21 | 6.0 | -5.0373 |
| 10 | 0.02 | 5.9 | -5.3839 |
| 11 | 0.13 | 6.1 | -5.1607 |
| 12 | 0.23 | 5.9 | -4.9815 |
| 13 | 0.02 | 5.8 | -5.4468 |
| 14 | 0.01 | 5.9 | -5.3347 |
| 15 | 0.28 | 5.7 | -5.1442 |
| 16 | 0.08 | 6.1 | -5.1356 |
| 17 | 0.14 | 5.8 | -5.3003 |
| 18 | 0.09 | 5.4 | -5.6708 |
| 19 | 0.08 | 6.0 | -5.2883 |
| 20 | 0.02 | 5.9 | -5.4466 |